# 1
Pr8TmMg2, optimized geometry, DFT PBE; M_tot = 0.0 μB per formula unit; total DFT energy (no corrections) = -44.7 eV/cell; volume = 379.41 Å³/cell; N(E_F) = 14.01 states/eV/f.u.; offset from the most stable computed form = 102 meV/atom; ΔH_f (0 K) = 0.10 eV/atom
1.0
5.708 1.343 0.000
2.144 8.814 0.000
1.072 4.407 7.999
Pr Mg Tm
8 2 1
Direct
0.136 0.678 0.226 Pr
0.136 0.903 0.774 Pr
0.500 0.210 0.579 Pr
0.500 0.790 0.421 Pr
0.295 0.408 0.000 Pr
0.705 0.592 0.000 Pr
0.864 0.322 0.774 Pr
0.864 0.097 0.226 Pr
0.000 0.306 0.387 Mg
0.000 0.694 0.613 Mg
0.500 0.000 0.000 Tm

***

# 2
Pr3Tm2Mg, optimized geometry, DFT PBE; M_tot = 0.0 μB per formula unit; total DFT energy (no corrections) = -24.9 eV/cell; volume = 192.92 Å³/cell; N(E_F) = 8.37 states/eV/f.u.; ΔH_f (0 K) = -0.01 eV/atom
1.0
3.661 0.000 0.000
0.000 3.661 0.000
0.000 0.000 14.398
Mg Tm Pr
1 2 3
Direct
0.500 0.500 0.500 Mg
0.500 0.500 0.172 Tm
0.500 0.500 0.828 Tm
0.000 0.000 0.000 Pr
0.000 0.000 0.345 Pr
0.000 0.000 0.655 Pr

***

# 3
Pr4TmMg, optimized geometry, DFT PBE; M_tot = 0.0 μB per formula unit; total DFT energy (no corrections) = -25.3 eV/cell; volume = 199.09 Å³/cell; N(E_F) = 6.90 states/eV/f.u.; offset from the most stable computed form = 0 meV/atom; ΔH_f (0 K) = -0.02 eV/atom
1.0
-1.679 3.017 1.360
-0.732 -1.826 3.147
12.572 4.501 5.536
Tm Pr Mg
1 4 1
Direct
0.000 0.000 0.000 Tm
0.500 0.500 0.171 Pr
0.000 0.000 0.652 Pr
0.500 0.500 0.829 Pr
0.000 0.000 0.348 Pr
0.500 0.500 0.500 Mg

***

# 4
PrTm3Mg8, optimized geometry, DFT PBE; M_tot = 0.0 μB per formula unit; total DFT energy (no corrections) = -31.7 eV/cell; volume = 310.76 Å³/cell; N(E_F) = 12.41 states/eV/f.u.; ΔH_f (0 K) = -0.06 eV/atom
1.0
-2.304 -5.575 -0.523
5.082 0.890 3.169
-5.302 1.432 8.101
Tm Mg Pr
3 8 1
Direct
0.000 0.000 0.941 Tm
0.667 0.333 0.061 Tm
0.667 0.333 0.430 Tm
0.674 0.837 0.248 Mg
0.504 0.009 0.753 Mg
0.333 0.667 0.500 Mg
0.163 0.326 0.248 Mg
0.504 0.496 0.753 Mg
0.163 0.837 0.248 Mg
0.991 0.496 0.753 Mg
0.333 0.667 0.000 Mg
0.000 0.000 0.566 Pr

***

# 5
Pr12Tm3Mg, optimized geometry, DFT PBE; M_tot = 0.0 μB per formula unit; total DFT energy (no corrections) = -72.3 eV/cell; volume = 546.11 Å³/cell; N(E_F) = 21.34 states/eV/f.u.; ΔH_f (0 K) = 0.01 eV/atom
1.0
5.142 0.000 0.000
0.000 5.142 0.000
0.000 0.000 20.658
Pr Mg Tm
12 1 3
Direct
0.500 0.500 0.248 Pr
0.500 0.500 0.000 Pr
0.500 0.000 0.626 Pr
0.000 0.500 0.626 Pr
0.000 0.500 0.124 Pr
0.500 0.000 0.374 Pr
0.500 0.500 0.752 Pr
0.500 0.500 0.500 Pr
0.000 0.500 0.876 Pr
0.500 0.000 0.124 Pr
0.000 0.500 0.374 Pr
0.500 0.000 0.876 Pr
0.000 0.000 0.000 Mg
0.000 0.000 0.248 Tm
0.000 0.000 0.752 Tm
0.000 0.000 0.500 Tm

***

# 6
PrTm2Mg6, optimized geometry, DFT PBE; M_tot = 0.0 μB per formula unit; total DFT energy (no corrections) = -23.9 eV/cell; volume = 236.74 Å³/cell; N(E_F) = 6.39 states/eV/f.u.; ΔH_f (0 K) = -0.07 eV/atom
1.0
3.305 0.000 0.000
0.000 7.877 -4.548
0.000 0.000 9.095
Mg Tm Pr
6 2 1
Direct
0.500 0.338 0.000 Mg
0.500 0.662 0.662 Mg
0.500 0.000 0.662 Mg
0.500 0.338 0.338 Mg
0.500 0.000 0.338 Mg
0.500 0.662 0.000 Mg
0.000 0.333 0.667 Tm
0.000 0.667 0.333 Tm
0.000 0.000 0.000 Pr

***

# 7
PrTm5Mg6, optimized geometry, DFT PBE; M_tot = 0.0 μB per formula unit; total DFT energy (no corrections) = -37.5 eV/cell; volume = 323.43 Å³/cell; N(E_F) = 15.47 states/eV/f.u.; ΔH_f (0 K) = -0.07 eV/atom
1.0
-5.172 -0.541 -1.207
1.870 -2.846 -6.735
-2.545 -7.660 2.530
Mg Tm Pr
6 5 1
Direct
0.500 0.254 0.000 Mg
0.831 0.746 0.338 Mg
0.500 0.746 0.000 Mg
0.169 0.254 0.662 Mg
0.831 0.254 0.338 Mg
0.169 0.746 0.662 Mg
0.000 0.500 0.000 Tm
0.331 0.000 0.338 Tm
0.669 0.000 0.662 Tm
0.665 0.500 0.671 Tm
0.335 0.500 0.329 Tm
0.000 0.000 0.000 Pr

***

# 8
PrTm3Mg4, optimized geometry, DFT PBE; M_tot = 0.0 μB per formula unit; total DFT energy (no corrections) = -50.3 eV/cell; volume = 435.78 Å³/cell; N(E_F) = 9.04 states/eV/f.u.; ΔH_f (0 K) = -0.07 eV/atom
1.0
5.345 0.000 0.000
0.000 7.629 0.000
0.000 0.000 10.686
Tm Pr Mg
6 2 8
Direct
0.500 0.000 0.750 Tm
0.500 0.500 0.750 Tm
0.500 0.000 0.250 Tm
0.500 0.500 0.250 Tm
0.000 0.000 0.000 Tm
0.000 0.000 0.500 Tm
0.000 0.500 0.000 Pr
0.000 0.500 0.500 Pr
0.000 0.243 0.750 Mg
0.500 0.757 0.500 Mg
0.000 0.757 0.250 Mg
0.000 0.243 0.250 Mg
0.500 0.757 0.000 Mg
0.500 0.243 0.500 Mg
0.000 0.757 0.750 Mg
0.500 0.243 0.000 Mg

***

# 9
Pr4Tm2Mg, optimized geometry, DFT PBE; M_tot = 0.0 μB per formula unit; total DFT energy (no corrections) = -28.8 eV/cell; volume = 240.99 Å³/cell; N(E_F) = 7.18 states/eV/f.u.; ΔH_f (0 K) = 0.12 eV/atom
1.0
-0.071 3.431 -1.352
-4.404 -1.560 -3.730
-4.283 3.919 10.174
Tm Mg Pr
2 1 4
Direct
0.000 0.500 0.500 Tm
0.500 0.000 0.500 Tm
0.000 0.000 0.000 Mg
0.000 0.340 0.794 Pr
0.500 0.810 0.747 Pr
0.500 0.190 0.253 Pr
0.000 0.660 0.206 Pr

***

# 10
PrTm4Mg5, optimized geometry, DFT PBE; M_tot = 0.0 μB per formula unit; total DFT energy (no corrections) = -31.3 eV/cell; volume = 270.99 Å³/cell; N(E_F) = 13.54 states/eV/f.u.; ΔH_f (0 K) = -0.07 eV/atom
1.0
-1.186 -3.064 1.836
-1.099 -1.528 -3.260
17.272 -7.946 -2.100
Tm Mg Pr
4 5 1
Direct
0.000 0.000 0.598 Tm
0.000 0.000 0.207 Tm
0.000 0.000 0.793 Tm
0.000 0.000 0.402 Tm
0.500 0.500 0.696 Mg
0.500 0.500 0.500 Mg
0.500 0.500 0.891 Mg
0.500 0.500 0.304 Mg
0.500 0.500 0.109 Mg
0.000 0.000 0.000 Pr

***

# 11
Pr3Tm4Mg, optimized geometry, DFT PBE; M_tot = 0.0 μB per formula unit; total DFT energy (no corrections) = -33.6 eV/cell; volume = 252.27 Å³/cell; N(E_F) = 12.83 states/eV/f.u.; offset from the most stable computed form = 22 meV/atom; ΔH_f (0 K) = 0.02 eV/atom
1.0
-4.767 -1.158 -0.297
1.215 -4.854 -0.577
1.458 1.722 10.542
Tm Pr Mg
4 3 1
Direct
0.752 0.252 0.504 Tm
0.372 0.372 0.744 Tm
0.628 0.628 0.256 Tm
0.248 0.748 0.496 Tm
0.126 0.125 0.251 Pr
0.874 0.875 0.749 Pr
0.000 0.500 0.000 Pr
0.500 0.000 0.000 Mg

***

# 12
PrTm4Mg2, optimized geometry, DFT PBE; M_tot = 0.0 μB per formula unit; total DFT energy (no corrections) = -25.5 eV/cell; volume = 209.21 Å³/cell; N(E_F) = 7.64 states/eV/f.u.; ΔH_f (0 K) = 0.04 eV/atom
1.0
-1.174 -0.477 -3.215
3.292 -0.188 -1.175
-1.707 -17.013 3.148
Pr Mg Tm
1 2 4
Direct
0.000 0.500 0.000 Pr
0.500 0.787 0.574 Mg
0.500 0.213 0.426 Mg
0.000 0.353 0.706 Tm
0.500 0.077 0.153 Tm
0.500 0.923 0.847 Tm
0.000 0.647 0.294 Tm